1.
Here is a geometry-optimized K2FeSe structure from Alexandria. Energies are from PBE-GGA.

Values from the calculation:
crystal system	monoclinic

abc: 4.4598 4.4534 7.3178
angles: 53.05 90.00 90.00
Closest atoms and distances in Å follow each position.
Fractional coordinates of all 4 atoms:
1 Fe 0.5000 0.7500 0.7500  2 Se 2.92
2 K 0.0000 0.0026 0.0085  2 K 2.83-3.02
3 K 0.0000 0.4974 0.4915  2 K 2.83-3.02
4 Se 0.5000 0.2500 0.2500  2 Fe 2.92


2.
Here is a geometry-optimized K2FeSe structure from Alexandria. Energies are from PBE-GGA.

Values from the calculation:
crystal system	tetragonal

abc: 3.6129 3.6131 9.9243
angles: 90.00 90.00 90.00
Closest atoms and distances in Å follow each position.
Fractional coordinates of all 4 atoms:
1 Fe 0.5000 0.5000 0.6476  4 Se 2.60
2 K 0.0000 0.0000 0.9229  1 Se 3.23, 4 K 3.61
3 K 0.5000 0.5000 0.3321  1 Fe 3.13
4 Se 0.0000 0.0000 0.5973  4 Fe 2.60


Number 1: E_form (uncorrected) 0.201 eV per atom. Number 2: E_form (uncorrected) 0.059 eV per atom.